Record 1
Here is an optimized crystal structure of Li2CaCu from Alexandria via LeMat-Bulk. Energies are from GGA-PBE.

Lattice parameters (Å, degrees): 5.7735 5.7735 4.8841 113.72 113.72 35.27
Last column: nearest neighbours and their distance in Å.
Positions (direct):
Li 0.2085 0.2085 0.2033  2 Cu 2.72
Li 0.7915 0.7915 0.7967  2 Cu 2.72
Ca 0.0000 0.0000 0.5000  4 Cu 3.00, 4 Li 3.19-3.23
Cu 0.5000 0.5000 0.0000  4 Li 2.72, 4 Ca 3.00

Output
The value obtained for the formation energy is 8 meV per atom. As for the symmetry: C2/m (12).

Record 2
Here is an optimized crystal structure of Ca2PbW from Alexandria via LeMat-Bulk. Energies are from GGA-PBE.

Lattice parameters (Å, degrees): 3.0985 5.3076 6.0242 90.00 90.00 90.00
Last column: nearest neighbours and their distance in Å.
Positions (direct):
Ca 0.0000 0.0000 0.0000  4 Ca 3.10-3.28, 4 W 3.31-3.46, 4 Pb 3.33
Ca 0.0000 0.5000 0.3190  4 Ca 3.10-3.28, 2 Pb 3.21, 4 W 3.29
Pb 0.5000 0.5000 0.7856  2 Pb 3.10, 2 W 3.12, 6 Ca 3.21-3.33
W 0.5000 0.0000 0.5136  2 W 3.10, 2 Pb 3.12, 8 Ca 3.29-3.46

Output
The value obtained for the formation energy is 539 meV per atom. As for the symmetry: Pmm2 (25).

Record 3
Here is an optimized crystal structure of P2HS2 from Alexandria via LeMat-Bulk. Energies are from GGA-PBE.

Lattice parameters (Å, degrees): 4.5428 4.5428 4.5111 90.00 90.00 90.00
Last column: nearest neighbours and their distance in Å.
Positions (direct):
P 0.0000 0.0000 0.0000  2 P 2.26
P 0.0000 0.0000 0.5000  2 P 2.26, 4 S 2.27
H 0.5000 0.5000 0.0000  8 S 3.20, 4 P 3.21
S 0.0000 0.5000 0.5000  2 P 2.27
S 0.5000 0.0000 0.5000  2 P 2.27

Output
The value obtained for the energy is -16.64 eV per cell. As for the symmetry: P4/mmm (123).

Repeat the first record exactly.
Here is an optimized crystal structure of Li2CaCu from Alexandria via LeMat-Bulk. Energies are from GGA-PBE.

Lattice parameters (Å, degrees): 5.7735 5.7735 4.8841 113.72 113.72 35.27
Last column: nearest neighbours and their distance in Å.
Positions (direct):
Li 0.2085 0.2085 0.2033  2 Cu 2.72
Li 0.7915 0.7915 0.7967  2 Cu 2.72
Ca 0.0000 0.0000 0.5000  4 Cu 3.00, 4 Li 3.19-3.23
Cu 0.5000 0.5000 0.0000  4 Li 2.72, 4 Ca 3.00

Output
The value obtained for the formation energy is 8 meV per atom. As for the symmetry: C2/m (12).

Please write out number 1 again, unchanged.
Here is an optimized crystal structure of Li2CaCu from Alexandria via LeMat-Bulk. Energies are from GGA-PBE.

Lattice parameters (Å, degrees): 5.7735 5.7735 4.8841 113.72 113.72 35.27
Last column: nearest neighbours and their distance in Å.
Positions (direct):
Li 0.2085 0.2085 0.2033  2 Cu 2.72
Li 0.7915 0.7915 0.7967  2 Cu 2.72
Ca 0.0000 0.0000 0.5000  4 Cu 3.00, 4 Li 3.19-3.23
Cu 0.5000 0.5000 0.0000  4 Li 2.72, 4 Ca 3.00

Output
The value obtained for the formation energy is 8 meV per atom. As for the symmetry: C2/m (12).